The following is a DFT calculation (PBE-GGA) of HRhS2Cl after structural relaxation.

DOS(E_F): 0.83 states/eV/atom
DFT total energy: -17.298 eV per formula unit
Total moment: 0.02 Bohr magnetons per cell
Calculated density: 3.19 g/cm3
Calculated volume: 21.19 Å³ per atom

Cell: 4.557 4.557 5.103 Å, 90.00 90.00 90.00°
Fractional coordinates of all 5 atoms:
H (0.000, 0.000, 0.000)
Rh (0.500, 0.500, 0.500)
S (0.000, 0.500, 0.500)
S (0.500, 0.000, 0.500)
Cl (0.500, 0.500, 0.000)